1.
# CdIn12Hg3, optimized geometry, DFT PBE
data_CdIn12Hg3
_chemical_formula_sum 'Cd1 In12 Hg3'
_space_group_name_H-M_alt 'P 4/m m m'
_space_group_IT_number 123
_space_group_name_Hall '-P 4 2'
_cell_length_a 4.754
_cell_length_b 4.754
_cell_length_c 18.602
_cell_angle_alpha 90.00
_cell_angle_beta 90.00
_cell_angle_gamma 90.00
loop_
_atom_site_label
_atom_site_type_symbol
_atom_site_fract_x
_atom_site_fract_y
_atom_site_fract_z
_atom_site_occupancy
Cd1 Cd 0.000 0.000 0.000 1
In1 In 0.000 0.500 0.123 1
In2 In 0.000 0.500 0.375 1
In3 In 0.500 0.500 0.000 1
In4 In 0.500 0.500 0.249 1
In5 In 0.500 0.500 0.500 1
Hg1 Hg 0.000 0.000 0.249 1
Hg2 Hg 0.000 0.000 0.500 1
# formation enthalpy at 0 K = 12 meV/atom

***

2.
# LaSmPtI, optimized geometry, DFT PBE
data_LaSmPtI
_chemical_formula_sum 'La3 Sm3 Pt3 I3'
_space_group_name_H-M_alt 'R 3 m'
_space_group_IT_number 160
_space_group_name_Hall 'R 3 -2"'
_cell_length_a 4.2603
_cell_length_b 4.2603
_cell_length_c 24.5553
_cell_angle_alpha 90.00
_cell_angle_beta 90.00
_cell_angle_gamma 120.00
loop_
_atom_site_label
_atom_site_type_symbol
_atom_site_fract_x
_atom_site_fract_y
_atom_site_fract_z
_atom_site_occupancy
La1 La 0.0000 0.0000 0.0000 1
Sm1 Sm 0.0000 0.0000 0.2085 1
Pt1 Pt 0.0000 0.0000 0.6026 1
I1 I 0.0000 0.0000 0.7743 1
# ΔE_f (raw) = -1160 meV per atom

***

3.
# LiLaHf2Tc, optimized geometry, DFT PBE
data_LiLaHf2Tc
_chemical_formula_sum 'Li1 La1 Hf2 Tc1'
_space_group_name_H-M_alt 'P 4/m m m'
_space_group_IT_number 123
_space_group_name_Hall '-P 4 2'
_cell_length_a 4.866
_cell_length_b 4.866
_cell_length_c 4.475
_cell_angle_alpha 90.00
_cell_angle_beta 90.00
_cell_angle_gamma 90.00
loop_
_atom_site_label
_atom_site_type_symbol
_atom_site_fract_x
_atom_site_fract_y
_atom_site_fract_z
_atom_site_occupancy
Li1 Li 0.000 0.000 0.000 1
La1 La 0.500 0.500 0.500 1
Hf1 Hf 0.000 0.500 0.000 1
Tc1 Tc 0.000 0.000 0.500 1
# formation enthalpy at 0 K = 796 meV/atom

***

4.
# Ba2LaRe, optimized geometry, DFT PBE
data_Ba2LaRe
_chemical_formula_sum 'Ba2 La1 Re1'
_space_group_name_H-M_alt 'P 4/m m m'
_space_group_IT_number 123
_space_group_name_Hall '-P 4 2'
_cell_length_a 4.738
_cell_length_b 4.738
_cell_length_c 5.723
_cell_angle_alpha 90.00
_cell_angle_beta 90.00
_cell_angle_gamma 90.00
loop_
_atom_site_label
_atom_site_type_symbol
_atom_site_fract_x
_atom_site_fract_y
_atom_site_fract_z
_atom_site_occupancy
Ba1 Ba 0.000 0.500 0.000 1
La1 La 0.000 0.000 0.500 1
Re1 Re 0.500 0.500 0.500 1
# formation enthalpy at 0 K = 942 meV/atom
# ΔE to the lowest computed polymorph = 0.439 eV per atom

***

5.
# Ba3Dy3TmTe8, optimized geometry, DFT PBE
data_Ba3Dy3TmTe8
_chemical_formula_sum 'Ba9 Dy9 Tm3 Te24'
_space_group_name_H-M_alt 'R -3 m'
_space_group_IT_number 166
_space_group_name_Hall '-R 3 2"'
_cell_length_a 8.9761
_cell_length_b 8.9761
_cell_length_c 23.9955
_cell_angle_alpha 90.00
_cell_angle_beta 90.00
_cell_angle_gamma 120.00
loop_
_atom_site_label
_atom_site_type_symbol
_atom_site_fract_x
_atom_site_fract_y
_atom_site_fract_z
_atom_site_occupancy
Ba1 Ba 0.0000 0.5000 0.0000 1
Dy1 Dy 0.0000 0.5000 0.5000 1
Tm1 Tm 0.0000 0.0000 0.5000 1
Te1 Te 0.0000 0.0000 0.2386 1
Te2 Te 0.0010 0.5005 0.7621 1
# ΔE_f (raw) = -1523 meV per atom

***

6.
# Sr2CoAs2, optimized geometry, DFT PBE
data_Sr2CoAs2
_chemical_formula_sum 'Sr4 Co2 As4'
_space_group_name_H-M_alt 'P 4/m b m'
_space_group_IT_number 127
_space_group_name_Hall '-P 4 2ab'
_cell_length_a 7.056
_cell_length_b 7.056
_cell_length_c 4.713
_cell_angle_alpha 90.00
_cell_angle_beta 90.00
_cell_angle_gamma 90.00
loop_
_atom_site_label
_atom_site_type_symbol
_atom_site_fract_x
_atom_site_fract_y
_atom_site_fract_z
_atom_site_occupancy
Sr1 Sr 0.174 0.326 0.000 1
Co1 Co 0.000 0.000 0.500 1
As1 As 0.136 0.636 0.500 1
# formation enthalpy at 0 K = -481 meV/atom

***

7.
# CdRe2Te, optimized geometry, DFT PBE
data_CdRe2Te
_chemical_formula_sum 'Cd2 Re4 Te2'
_space_group_name_H-M_alt 'C 1 m 1'
_space_group_IT_number 8
_cell_length_a 7.280
_cell_length_b 4.105
_cell_length_c 7.057
_cell_angle_alpha 90.00
_cell_angle_beta 115.46
_cell_angle_gamma 90.00
loop_
_space_group_symop_operation_xyz
'x,y,z'
'x,-y,z'
'x+1/2,y+1/2,z'
'x+1/2,-y+1/2,z'
loop_
_atom_site_label
_atom_site_type_symbol
_atom_site_fract_x
_atom_site_fract_y
_atom_site_fract_z
_atom_site_occupancy
Cd1 Cd 0.000 0.000 0.000 1
Re1 Re 0.285 0.500 0.267 1
Re2 Re 0.488 0.000 0.351 1
Te1 Te 0.262 0.000 0.589 1
# ΔE to the lowest computed polymorph = 0.181 eV per atom
# ΔE_f (raw) = 560 meV per atom

***

8.
# PmHo6Al6, optimized geometry, DFT PBE
data_PmHo6Al6
_chemical_formula_sum 'Pm1 Ho6 Al6'
_space_group_name_H-M_alt 'P 6/m m m'
_space_group_IT_number 191
_space_group_name_Hall '-P 6 2'
_cell_length_a 5.9041
_cell_length_b 5.9041
_cell_length_c 10.5047
_cell_angle_alpha 90.00
_cell_angle_beta 90.00
_cell_angle_gamma 120.00
loop_
_atom_site_label
_atom_site_type_symbol
_atom_site_fract_x
_atom_site_fract_y
_atom_site_fract_z
_atom_site_occupancy
Pm1 Pm 0.0000 0.0000 0.0000 1
Ho1 Ho 0.0000 0.0000 0.3346 1
Ho2 Ho 0.3333 0.6667 0.0000 1
Ho3 Ho 0.3333 0.6667 0.5000 1
Al1 Al 0.0000 0.5000 0.2452 1
# formation enthalpy at 0 K = -313 meV/atom

***

9.
# MgHgPS2, optimized geometry, DFT PBE
data_MgHgPS2
_chemical_formula_sum 'Mg1 Hg1 P1 S2'
_space_group_name_H-M_alt 'P 4/m m m'
_space_group_IT_number 123
_space_group_name_Hall '-P 4 2'
_cell_length_a 5.074
_cell_length_b 5.074
_cell_length_c 4.911
_cell_angle_alpha 90.00
_cell_angle_beta 90.00
_cell_angle_gamma 90.00
loop_
_atom_site_label
_atom_site_type_symbol
_atom_site_fract_x
_atom_site_fract_y
_atom_site_fract_z
_atom_site_occupancy
Mg1 Mg 0.000 0.000 0.000 1
Hg1 Hg 0.500 0.500 0.500 1
P1 P 0.500 0.500 0.000 1
S1 S 0.000 0.500 0.500 1
# ΔE to the lowest computed polymorph = 0.228 eV per atom
# ΔE_f (raw) = 742 meV per atom

***

10.
# Ba2AlTl, optimized geometry, DFT PBE
data_Ba2AlTl
_chemical_formula_sum 'Ba8 Al4 Tl4'
_space_group_name_H-M_alt 'F -4 3 m'
_space_group_IT_number 216
_space_group_name_Hall 'F -4 2 3'
_cell_length_a 8.341
_cell_length_b 8.341
_cell_length_c 8.341
_cell_angle_alpha 90.00
_cell_angle_beta 90.00
_cell_angle_gamma 90.00
loop_
_atom_site_label
_atom_site_type_symbol
_atom_site_fract_x
_atom_site_fract_y
_atom_site_fract_z
_atom_site_occupancy
Ba1 Ba 0.000 0.000 0.000 1
Ba2 Ba 0.250 0.250 0.250 1
Al1 Al 0.250 0.250 0.750 1
Tl1 Tl 0.000 0.000 0.500 1
# formation enthalpy at 0 K = 31 meV/atom
# ΔE to the lowest computed polymorph = 0.249 eV per atom

***

11.
# ScB6Ir6, optimized geometry, DFT PBE
data_ScB6Ir6
_chemical_formula_sum 'Sc2 B12 Ir12'
_space_group_name_H-M_alt 'I m m m'
_space_group_IT_number 71
_space_group_name_Hall '-I 2 2'
_cell_length_a 4.771
_cell_length_b 7.676
_cell_length_c 7.861
_cell_angle_alpha 90.00
_cell_angle_beta 90.00
_cell_angle_gamma 90.00
loop_
_atom_site_label
_atom_site_type_symbol
_atom_site_fract_x
_atom_site_fract_y
_atom_site_fract_z
_atom_site_occupancy
Sc1 Sc 0.000 0.000 0.000 1
B1 B 0.000 0.270 0.500 1
B2 B 0.250 0.250 0.250 1
Ir1 Ir 0.000 0.000 0.336 1
Ir2 Ir 0.000 0.329 0.000 1
Ir3 Ir 0.000 0.500 0.320 1
# formation enthalpy at 0 K = 163 meV/atom

***

12.
# Pu2SnP, optimized geometry, DFT PBE
data_Pu2SnP
_chemical_formula_sum 'Pu2 Sn1 P1'
_space_group_name_H-M_alt 'P 4/m m m'
_space_group_IT_number 123
_space_group_name_Hall '-P 4 2'
_cell_length_a 3.398
_cell_length_b 3.398
_cell_length_c 8.024
_cell_angle_alpha 90.00
_cell_angle_beta 90.00
_cell_angle_gamma 90.00
loop_
_atom_site_label
_atom_site_type_symbol
_atom_site_fract_x
_atom_site_fract_y
_atom_site_fract_z
_atom_site_occupancy
Pu1 Pu 0.000 0.000 0.203 1
Sn1 Sn 0.500 0.500 0.500 1
P1 P 0.500 0.500 0.000 1
# formation enthalpy at 0 K = -702 meV/atom
# ΔE to the lowest computed polymorph = 0.000 eV per atom

***

no.,electronic total energy (eV/atom),total moment (μB/f.u.)
1,-2.156,0.00
2,-5.469,0.00
3,-6.627,0.00
4,-4.363,0.80
5,-4.802,0.00
6,-4.435,0.98
7,-6.678,0.00
8,-4.519,0.00
9,-2.370,1.55
10,-2.457,0.00
11,-7.496,0.00
12,-10.221,10.88